Entry from the Alexandria database: a geometry-optimized RbAgO3 structure (GGA-PBE).

Structure (extended XYZ):
```
5
Lattice="4.169 0.000 0.000 0.000 4.169 0.000 0.000 0.000 4.169" Properties=species:S:1:pos:R:3 pbc="T T T"
Rb 0.000 0.000 0.000
Ag 2.085 2.085 2.085
O 0.000 2.085 2.085
O 2.085 0.000 2.085
O 2.085 2.085 0.000
```

energy relative to the elements, uncorrected = -0.017 eV per atom
SG = No. 221
DOS at the Fermi energy = 6.91 states/eV per cell